Entry from Alexandria: CsTeMo2O8 after structural relaxation (PBE+U).

abc: 5.6697 5.6697 8.9507
angles: 86.04 86.04 64.91
With the nearest neighbours (Å) after each atom.
Element x y z (fractional)
O  0.3117  0.3117  0.6151  1 Mo 1.75
O  0.2751  0.7755  0.1769  1 Mo 1.85
O  0.2245  0.7249  0.8231  1 Mo 1.85
O  0.7755  0.2751  0.1769  1 Mo 1.85
O  0.7249  0.2245  0.8231  1 Mo 1.85
O  0.6883  0.6883  0.3849  1 Mo 1.75
O  0.7833  0.7833  0.0622  1 Mo 1.86
O  0.2167  0.2167  0.9378  1 Mo 1.86
Cs  0.0000  0.0000  0.5000  6 O 3.23-3.26
Mo  0.3699  0.3699  0.7958  4 O 1.75-1.86
Mo  0.6301  0.6301  0.2042  4 O 1.75-1.86
Te  0.0000  0.0000  0.0000  6 O 2.10-2.22

Crystal system = monoclinic
Raw total energy = -75.25 eV/cell